(1)
VASP calculation (GGA-PBE) on Ac2AsH2I after structural relaxation.

a b c (Å): 4.3574 4.3574 8.9781
angles (deg): 90.00 90.00 120.00
Last column: nearest neighbours and their distance in Å.
Space group P-3m1 (No. 164)
Inequivalent atoms, fractional coordinates:
Ac: 0.3333 0.6667 0.2114 [2 per cell]  3 H 2.53
As: 0.0000 0.0000 0.0000 [1 per cell]  6 Ac 3.15, 6 H 3.35
H: 0.3333 0.6667 0.7543 [2 per cell]  3 Ac 2.53
I: 0.0000 0.0000 0.5000 [1 per cell]  6 H 3.40, 6 Ac 3.61



(2)
VASP calculation (GGA-PBE) on AcAsHIr after structural relaxation.

a b c (Å): 4.1986 4.1986 10.4073
angles (deg): 90.00 90.00 120.00
Last column: nearest neighbours and their distance in Å.
Space group P6_3mc (No. 186)
Inequivalent atoms, fractional coordinates:
Ac: 0.3333 0.6667 0.0000 [2 per cell]  3 H 2.58
As: 0.3333 0.6667 0.6930 [2 per cell]  3 Ir 2.50
H: 0.0000 0.0000 0.4144 [2 per cell]  1 Ir 1.71
Ir: 0.0000 0.0000 0.2503 [2 per cell]  1 H 1.71



(3)
VASP calculation (GGA-PBE) on AcAsH2Ir2 after structural relaxation.

a b c (Å): 5.9629 5.6460 6.1479
angles (deg): 90.00 98.72 90.00
Last column: nearest neighbours and their distance in Å.
Space group P2_1/m (No. 11)
Inequivalent atoms, fractional coordinates:
Ac: 0.1949 0.2500 0.2985 [2 per cell]  2 H 2.74-2.83
As: 0.3478 0.7500 0.1199 [2 per cell]  4 Ir 2.46-2.47
H: 0.1237 0.2500 0.7289 [2 per cell]  2 Ir 1.79
H: 0.2568 0.7500 0.6116 [2 per cell]  2 Ir 1.80
Ir: 0.3085 0.0019 0.7906 [4 per cell]  2 H 1.79-1.80



(4)
VASP calculation (GGA-PBE) on AcMgAsH2 after structural relaxation.

a b c (Å): 4.2354 4.2354 5.4989
angles (deg): 90.00 90.00 90.00
Last column: nearest neighbours and their distance in Å.
Space group P4mm (No. 99)
Inequivalent atoms, fractional coordinates:
Ac: 0.0000 0.0000 0.0000 [1 per cell]  4 H 2.68
Mg: 0.5000 0.5000 0.3668 [1 per cell]  4 H 2.15
As: 0.5000 0.5000 0.8418 [1 per cell]  2 Mg 2.61-2.89
H: 0.0000 0.5000 0.2976 [2 per cell]  2 Mg 2.15



(5)
VASP calculation (GGA-PBE) on NaAcAsH after structural relaxation.

a b c (Å): 7.1553 7.1553 7.1553
angles (deg): 90.00 90.00 90.00
Last column: nearest neighbours and their distance in Å.
Space group F-43m (No. 216)
Inequivalent atoms, fractional coordinates:
Na: 0.0000 0.0000 0.0000 [4 per cell]  4 H 3.10, 4 As 3.10
Ac: 0.0000 0.0000 0.5000 [4 per cell]  4 As 3.10, 4 H 3.10
As: 0.2500 0.2500 0.7500 [4 per cell]  4 Ac 3.10, 4 Na 3.10
H: 0.2500 0.2500 0.2500 [4 per cell]  4 Ac 3.10, 4 Na 3.10



(6)
VASP calculation (GGA-PBE) on AcNiAsH2 after structural relaxation.

a b c (Å): 4.1619 4.1619 4.8361
angles (deg): 90.00 90.00 90.00
Last column: nearest neighbours and their distance in Å.
Space group P4mm (No. 99)
Inequivalent atoms, fractional coordinates:
Ac: 0.0000 0.0000 0.0000 [1 per cell]  4 H 2.60
Ni: 0.5000 0.5000 0.3176 [1 per cell]  4 H 2.08
As: 0.5000 0.5000 0.8059 [1 per cell]  2 Ni 2.36-2.47
H: 0.0000 0.5000 0.3210 [2 per cell]  2 Ni 2.08



(7)
VASP calculation (GGA-PBE) on AcAsH2O4 after structural relaxation.

a b c (Å): 4.8495 5.8990 6.6690
angles (deg): 90.00 90.00 90.00
Last column: nearest neighbours and their distance in Å.
Space group I222 (No. 23)
Inequivalent atoms, fractional coordinates:
Ac: 0.0000 0.0000 0.0000 [2 per cell]  8 O 2.59-2.75
As: 0.0000 0.0000 0.5000 [2 per cell]  4 O 2.07
H: 0.0000 0.5000 0.1864 [4 per cell]  2 O 1.24
O: 0.2048 0.3753 0.8051 [8 per cell]  1 H 1.24



(8)
VASP calculation (GGA-PBE) on AcAs2HO6 after structural relaxation.

a b c (Å): 10.7893 10.6917 7.0064
angles (deg): 90.00 109.17 90.00
Last column: nearest neighbours and their distance in Å.
Space group C2/c (No. 15)
Inequivalent atoms, fractional coordinates:
Ac: 0.0000 0.2434 0.2500 [4 per cell]  6 O 2.37-2.64
As: 0.1835 0.0483 0.6655 [8 per cell]  3 O 1.72-1.81
H: 0.0000 0.1646 0.7500 [4 per cell]  2 O 1.23
O: 0.0556 0.1641 0.6225 [8 per cell]  1 H 1.23
O: 0.1620 0.0516 0.3601 [8 per cell]  1 As 1.81
O: 0.1716 0.3734 0.2243 [8 per cell]  1 As 1.72



no.,density (g/cm3),DFT total energy (eV per atom)
1,7.40,-4.641
2,10.35,-5.864
3,11.17,-5.932
4,5.53,-4.044
5,5.91,-4.004
6,7.19,-4.538
7,6.40,-5.974
8,4.12,-6.298